The following is a DFT calculation (PBE+U) of a relaxed structure of Cs2NaCoO4.

Lattice parameters (Å, degrees): 5.6116 12.3959 21.8622 90.00 90.00 90.00
Space group Fddd (No. 70, origin choice 2)
Symmetry-distinct sites (fractional):
Cs  0.1250  0.1250  0.3052 [16 per cell]
Na  0.1250  0.1250  0.1250 [8 per cell]
Co  0.1250  0.1250  0.6250 [8 per cell]
O  0.0666  0.2854  0.8376 [32 per cell]

E_tot = -4.5842 eV per atom
Size of the total moment = 32.0 μB per cell